CeHoIrPt | PBE | optimized geometry

* DOS at the Fermi energy: 26.54 states/eV/cell
* formation enthalpy at 0 K: -0.906 eV/atom
* excess energy over the best structure of this formula in the dataset: 133 meV per atom
* E_tot: -7.259 eV/atom

a b c (Å): 6.9951 6.9951 6.9951
angles (deg): 90.00 90.00 90.00
Closest atoms and distances in Å follow each position.
Space group F-43m (No. 216)
Asymmetric unit:
Ce1 0.0000 0.0000 0.0000 (multiplicity 4)  4 Pt 3.03, 4 Ir 3.03
Ho1 0.0000 0.0000 0.5000 (multiplicity 4)  4 Ir 3.03, 4 Pt 3.03
Ir1 0.2500 0.2500 0.2500 (multiplicity 4)  4 Ce 3.03, 4 Ho 3.03
Pt1 0.2500 0.2500 0.7500 (multiplicity 4)  4 Ce 3.03, 4 Ho 3.03

---

KCaW4 | PBE | optimized geometry

* DOS at the Fermi energy: 34.92 states/eV/cell
* formation enthalpy at 0 K: 1.139 eV/atom
* E_tot: -8.013 eV/atom

a b c (Å): 7.9290 7.9290 7.9290
angles (deg): 90.00 90.00 90.00
Closest atoms and distances in Å follow each position.
Space group F-43m (No. 216)
Asymmetric unit:
K1 0.0000 0.0000 0.0000 (multiplicity 4)  12 W 3.28, 4 Ca 3.43
Ca1 0.2500 0.2500 0.2500 (multiplicity 4)  12 W 3.29, 4 K 3.43
W1 0.1259 0.1259 0.6259 (multiplicity 16)  6 W 2.78-2.82

---

Tb3Zn9Sn2 | PBE | optimized geometry

* DOS at the Fermi energy: 13.18 states/eV/cell
* formation enthalpy at 0 K: -0.345 eV/atom
* E_tot: -2.728 eV/atom

a b c (Å): 4.3113 9.9593 12.7513
angles (deg): 90.00 90.00 90.00
Closest atoms and distances in Å follow each position.
Space group Immm (No. 71)
Asymmetric unit:
Tb1 0.0000 0.0000 0.0000 (multiplicity 2)  12 Zn 3.24-3.30
Tb2 0.0000 0.0000 0.3053 (multiplicity 4)  12 Zn 3.07-3.29, 2 Sn 3.22
Zn1 0.0000 0.2660 0.1548 (multiplicity 8)  3 Zn 2.57-2.59
Zn2 0.0000 0.3772 0.3369 (multiplicity 8)  4 Zn 2.45-2.59, 1 Sn 2.69
Zn3 0.0000 0.5000 0.0000 (multiplicity 2)  4 Sn 2.98, 4 Zn 3.05, 4 Tb 3.29
Sn1 0.0000 0.2064 0.5000 (multiplicity 4)  8 Zn 2.69-2.98

---

Cs4RbNa3 | PBE | optimized geometry

* DOS at the Fermi energy: 5.82 states/eV/cell
* formation enthalpy at 0 K: 0.031 eV/atom
* E_tot: -1.011 eV/atom

a b c (Å): 5.4602 6.7594 17.4827
angles (deg): 90.00 90.00 90.00
Closest atoms and distances in Å follow each position.
Space group Pmm2 (No. 25)
Asymmetric unit:
Cs1 0.0000 0.0000 0.0000 (multiplicity 1)  6 Na 4.36-4.55
Cs2 0.0000 0.5000 0.2740 (multiplicity 1)  7 Na 4.39-4.80
Cs3 0.5000 0.0000 0.4544 (multiplicity 1)  5 Na 4.54-4.65, 2 Rb 4.93
Cs4 0.5000 0.5000 0.8130 (multiplicity 1)  1 Na 4.62, 4 Rb 4.85
Rb1 0.0000 0.0000 0.6893 (multiplicity 1)  2 Na 4.18
Na1 0.0000 0.5000 0.5486 (multiplicity 1)  2 Rb 4.18, 4 Cs 4.65
Na2 0.5000 0.0000 0.1945 (multiplicity 1)  2 Na 3.95, 2 Cs 4.36
Na3 0.5000 0.5000 0.0771 (multiplicity 1)  2 Na 3.95, 2 Cs 4.39

---

NaW2N | PBE | optimized geometry

* raw formation energy: 0.99 eV/atom
* DOS at the Fermi energy: 11.34 states/eV/cell
* E_tot: -7.899 eV/atom

a b c (Å): 6.2415 6.2415 8.8563
angles (deg): 90.00 90.00 90.00
Closest atoms and distances in Å follow each position.
Space group I-42d (No. 122)
Asymmetric unit:
Na1 0.0000 0.0000 0.0000 (multiplicity 4)  12 W 3.65-3.67, 4 Na 3.83, 4 N 3.83
W1 0.0011 0.7500 0.6250 (multiplicity 8)  2 N 1.91
N1 0.0000 0.0000 0.5000 (multiplicity 4)  4 W 1.91

---

LaZnGa3 | PBE | optimized geometry

* DOS at the Fermi energy: 7.85 states/eV/cell
* formation enthalpy at 0 K: 0.872 eV/atom
* E_tot: -2.184 eV/atom

a b c (Å): 5.8120 5.8120 5.8120
angles (deg): 90.00 90.00 90.00
Closest atoms and distances in Å follow each position.
Space group Pm-3m (No. 221)
Asymmetric unit:
La1 0.0000 0.0000 0.0000 (multiplicity 1)  6 Ga 2.91
Zn1 0.5000 0.5000 0.5000 (multiplicity 1)  12 Ga 4.11
Ga1 0.0000 0.0000 0.5000 (multiplicity 3)  2 La 2.91